1.
## GaAuI3 (SCAN)

Data for a PBEsol-optimized structure of GaAuI3.

Results
The value obtained for the magnetic moment is 0.00 μB per cell. As for the raw total energy: -39.164 eV per atom. The density of states at the Fermi level comes out at 1.4 states/eV/f.u. The raw formation energy is -18 meV/atom. The symmetry is Pm-3m, No. 221.

a b c (Å): 5.5708 5.5708 5.5708
angles (deg): 90.00 90.00 90.00
Closest atoms and distances in Å follow each position.
Element x y z (fractional)
Ga 0.0000 0.0000 0.0000  12 I 3.94
Au 0.5000 0.5000 0.5000  6 I 2.79
I 0.0000 0.5000 0.5000  2 Au 2.79
I 0.5000 0.0000 0.5000  2 Au 2.79
I 0.5000 0.5000 0.0000  2 Au 2.79

2.
## InGaAuI2 (SCAN)

Data for a PBEsol-optimized structure of InGaAuI2.

Results
The value obtained for the magnetic moment is 0.00 μB per cell. As for the raw total energy: -38.581 eV per atom. The density of states at the Fermi level comes out at 1.2 states/eV/f.u. The raw formation energy is -107 meV/atom. The symmetry is P4/mmm, No. 123.

a b c (Å): 5.8129 5.8129 4.8228
angles (deg): 90.00 90.00 90.00
Closest atoms and distances in Å follow each position.
Element x y z (fractional)
In 0.0000 0.0000 0.0000  8 I 3.78, 4 Au 4.11
Ga 0.5000 0.5000 0.5000  2 Au 2.41
Au 0.5000 0.5000 0.0000  2 Ga 2.41
I 0.0000 0.5000 0.5000  2 Ga 2.91
I 0.5000 0.0000 0.5000  2 Ga 2.91

3.
## GaPtAu2I (SCAN)

Data for a PBEsol-optimized structure of GaPtAu2I.

Results
The value obtained for the magnetic moment is 0.00 μB per cell. As for the raw total energy: -51.372 eV per atom. The density of states at the Fermi level comes out at 3.4 states/eV/f.u. The raw formation energy is 947 meV/atom. The symmetry is P4/mmm, No. 123.

a b c (Å): 5.2622 5.2622 4.9482
angles (deg): 90.00 90.00 90.00
Closest atoms and distances in Å follow each position.
Element x y z (fractional)
Ga 0.0000 0.0000 0.0000  8 Au 3.61, 4 Pt 3.72
Pt 0.5000 0.5000 0.0000  2 I 2.47
Au 0.0000 0.5000 0.5000  2 I 2.63
Au 0.5000 0.0000 0.5000  2 I 2.63
I 0.5000 0.5000 0.5000  2 Pt 2.47, 4 Au 2.63